A relaxed ZrSc2Re crystal. Source: the Alexandria database, functional PBE.

## Properties
- Formation energy: 1.20 kcal/mol of atoms
- Symmetry: No. 123
- Polymorph energy (0 for the lowest one): 138 meV/atom
- VASP energy: -8.363 eV per atom
- D(E_F): 6.098 states/eV per cell

a b c (Å): 3.233 3.233 7.907
angles (deg): 90.00 90.00 90.00
Element x y z (fractional)
Re: 0.500 0.500 0.750
Sc: 0.000 0.000 0.950
Sc: 0.000 0.000 0.550
Zr: 0.500 0.500 0.250

=====

A relaxed ZrSc2Re crystal. Source: the Alexandria database, functional PBE.

## Properties
- Formation energy: 11.00 kcal/mol of atoms
- Symmetry: No. 166
- Polymorph energy (0 for the lowest one): 563 meV/atom
- VASP energy: -7.938 eV per atom
- D(E_F): 4.407 states/eV per cell

a b c (Å): 10.569 10.569 10.569
angles (deg): 16.38 16.38 16.38
Element x y z (fractional)
Sc: 0.918 0.918 0.918
Sc: 0.082 0.082 0.082
Re: 0.000 0.000 0.000
Zr: 0.500 0.500 0.500

=====

A relaxed ZrScRe crystal. Source: the Alexandria database, functional PBE.

## Properties
- Formation energy: 3.37 kcal/mol of atoms
- Symmetry: No. 216
- Polymorph energy (0 for the lowest one): 254 meV/atom
- VASP energy: -8.963 eV per atom
- D(E_F): 2.329 states/eV per cell

a b c (Å): 4.541 4.541 4.541
angles (deg): 60.00 60.00 60.00
Element x y z (fractional)
Re: 0.750 0.750 0.750
Sc: 0.000 0.000 0.000
Zr: 0.500 0.500 0.500

=====

A relaxed ZrSc2Re crystal. Source: the Alexandria database, functional PBE.

## Properties
- Formation energy: 1.54 kcal/mol of atoms
- Symmetry: No. 35
- Polymorph energy (0 for the lowest one): 153 meV/atom
- VASP energy: -8.348 eV per atom
- D(E_F): 5.239 states/eV per cell

a b c (Å): 3.049 3.049 9.719
angles (deg): 90.00 90.00 112.45
Element x y z (fractional)
Re: 0.500 0.500 0.748
Sc: 0.000 0.000 0.963
Sc: 0.500 0.500 0.254
Zr: 0.000 0.000 0.534

=====

A relaxed ZrScRe crystal. Source: the Alexandria database, functional PBE.

## Properties
- Formation energy: 3.68 kcal/mol of atoms
- Symmetry: No. 156
- Polymorph energy (0 for the lowest one): 267 meV/atom
- VASP energy: -8.950 eV per atom
- D(E_F): 3.703 states/eV per cell

a b c (Å): 3.197 3.197 6.918
angles (deg): 90.00 90.00 120.00
Element x y z (fractional)
Re: 0.000 0.000 0.998
Sc: 0.333 0.667 0.294
Zr: 0.667 0.333 0.708

=====

A relaxed Zr2Sc2Re crystal. Source: the Alexandria database, functional PBE.

## Properties
- Formation energy: 7.81 kcal/mol of atoms
- Symmetry: No. 127
- Polymorph energy (0 for the lowest one): 152 meV/atom
- VASP energy: -8.103 eV per atom
- D(E_F): 10.408 states/eV per cell

a b c (Å): 6.628 6.628 4.960
angles (deg): 90.00 90.00 90.00
Element x y z (fractional)
Sc: 0.352 0.852 0.000
Sc: 0.852 0.648 0.000
Sc: 0.648 0.148 0.000
Sc: 0.148 0.352 0.000
Re: 0.000 0.000 0.000
Re: 0.500 0.500 0.000
Zr: 0.169 0.669 0.500
Zr: 0.669 0.831 0.500
Zr: 0.831 0.331 0.500
Zr: 0.331 0.169 0.500

=====

A relaxed Zr4ScRe crystal. Source: the Alexandria database, functional PBE.

## Properties
- Formation energy: 11.57 kcal/mol of atoms
- Symmetry: No. 216
- VASP energy: -8.327 eV per atom
- D(E_F): 9.611 states/eV per cell

a b c (Å): 5.666 5.666 5.666
angles (deg): 60.00 60.00 60.00
Element x y z (fractional)
Zr: 0.872 0.376 0.376
Zr: 0.376 0.376 0.872
Zr: 0.376 0.872 0.376
Zr: 0.376 0.376 0.376
Sc: 0.000 0.000 0.000
Re: 0.750 0.750 0.750

=====

A relaxed ZrScRe crystal. Source: the Alexandria database, functional PBE.

## Properties
- Formation energy: -1.56 kcal/mol of atoms
- Symmetry: No. 156
- Polymorph energy (0 for the lowest one): 40 meV/atom
- VASP energy: -9.177 eV per atom
- D(E_F): 1.875 states/eV per cell

a b c (Å): 4.677 4.677 2.996
angles (deg): 90.00 90.00 120.00
Element x y z (fractional)
Re: 0.000 0.000 0.998
Sc: 0.667 0.333 0.289
Zr: 0.333 0.667 0.713